DFT (GGA-PBE) results for crystalline Pr3UPa2N6 at its relaxed geometry.

Cell lengths 6.183, 6.183, 6.201 Å; angles 99.57, 99.57, 120.01 degrees
Fractional coordinates of all 12 atoms:
N 0.606 0.933 0.798
N 0.742 0.742 0.204
N 0.394 0.067 0.202
N 0.067 0.394 0.202
N 0.258 0.258 0.796
N 0.933 0.606 0.798
Pr 0.833 0.167 0.500
Pr 0.500 0.500 0.500
Pr 0.167 0.833 0.500
Pa 0.667 0.333 0.000
Pa 0.333 0.667 0.000
U 0.000 0.000 0.000

Output
The raw formation energy is -1.496 eV/atom. As for the density of states at the Fermi level: 6.98 states/eV per cell. The final energy is -9.3765 eV per atom. Its theoretical density is 10.4 Mg/m³. The calculated volume comes out at 194 Å³ per cell.



DFT (GGA-PBE) results for crystalline Pr2UPaN6 at its relaxed geometry.

Cell lengths 5.954, 6.085, 8.509 Å; angles 90.00, 90.15, 90.00 degrees
Fractional coordinates of all 20 atoms:
N 0.893 0.540 0.244
N 0.798 0.792 0.941
N 0.786 0.802 0.556
N 0.107 0.460 0.756
N 0.714 0.302 0.944
N 0.286 0.698 0.056
N 0.202 0.208 0.059
N 0.702 0.292 0.559
N 0.298 0.708 0.441
N 0.607 0.040 0.256
N 0.393 0.960 0.744
N 0.214 0.198 0.444
Pr 0.986 0.045 0.749
Pr 0.514 0.545 0.751
Pr 0.014 0.955 0.251
Pr 0.486 0.455 0.249
U 0.000 0.500 0.000
U 0.500 0.000 0.500
Pa 0.500 0.000 0.000
Pa 0.000 0.500 0.500

Output
The raw formation energy is -1.344 eV/atom. As for the density of states at the Fermi level: 15.57 states/eV per cell. The final energy is -9.3731 eV per atom. Its theoretical density is 9.0 Mg/m³. The calculated volume comes out at 308 Å³ per cell.